Compound: Zn2CdRe
Source: Alexandria
Functional: PBE
Structure: relaxed

## Properties
Volume, Å³ per atom: 15.94
ΔH_f (0 K), eV per atom: 0.502

a b c (Å): 4.849 4.849 4.849
angles (deg): 130.86 130.86 72.04
Fractional coordinates of all 4 atoms:
Zn 0.250 0.750 0.500
Zn 0.750 0.250 0.500
Cd 0.000 0.000 0.000
Re 0.500 0.500 0.000

Compound: Y3Tl3VSe8
Source: Alexandria
Functional: PBE
Structure: relaxed

## Properties
Calculated total energy, eV/f.u.: -81.27
Volume, Å³ per atom: 29.54

a b c (Å): 9.087 9.087 9.087
angles (deg): 52.96 52.96 52.96
Fractional coordinates of all 15 atoms:
Y 0.000 0.500 0.500
Y 0.500 0.000 0.500
Y 0.500 0.500 0.000
Tl 0.000 0.000 0.500
Tl 0.000 0.500 0.000
Tl 0.500 0.000 0.000
V 0.000 0.000 0.000
Se 0.216 0.216 0.761
Se 0.216 0.761 0.216
Se 0.239 0.784 0.784
Se 0.264 0.264 0.264
Se 0.736 0.736 0.736
Se 0.761 0.216 0.216
Se 0.784 0.239 0.784
Se 0.784 0.784 0.239

Please write out number 2 again, unchanged.
Compound: Y3Tl3VSe8
Source: Alexandria
Functional: PBE
Structure: relaxed

## Properties
Calculated total energy, eV/f.u.: -81.27
Volume, Å³ per atom: 29.54

a b c (Å): 9.087 9.087 9.087
angles (deg): 52.96 52.96 52.96
Fractional coordinates of all 15 atoms:
Y 0.000 0.500 0.500
Y 0.500 0.000 0.500
Y 0.500 0.500 0.000
Tl 0.000 0.000 0.500
Tl 0.000 0.500 0.000
Tl 0.500 0.000 0.000
V 0.000 0.000 0.000
Se 0.216 0.216 0.761
Se 0.216 0.761 0.216
Se 0.239 0.784 0.784
Se 0.264 0.264 0.264
Se 0.736 0.736 0.736
Se 0.761 0.216 0.216
Se 0.784 0.239 0.784
Se 0.784 0.784 0.239

Please write out number 2 again, unchanged.
Compound: Y3Tl3VSe8
Source: Alexandria
Functional: PBE
Structure: relaxed

## Properties
Calculated total energy, eV/f.u.: -81.27
Volume, Å³ per atom: 29.54

a b c (Å): 9.087 9.087 9.087
angles (deg): 52.96 52.96 52.96
Fractional coordinates of all 15 atoms:
Y 0.000 0.500 0.500
Y 0.500 0.000 0.500
Y 0.500 0.500 0.000
Tl 0.000 0.000 0.500
Tl 0.000 0.500 0.000
Tl 0.500 0.000 0.000
V 0.000 0.000 0.000
Se 0.216 0.216 0.761
Se 0.216 0.761 0.216
Se 0.239 0.784 0.784
Se 0.264 0.264 0.264
Se 0.736 0.736 0.736
Se 0.761 0.216 0.216
Se 0.784 0.239 0.784
Se 0.784 0.784 0.239